Density functional theory data (GGA-PBEsol) for a geometry-optimized LaReTc structure.

Polymorph energy (0 for the lowest one)   1557 meV per atom
Space group   F-43m
Total moment   0.001 μB per formula unit
ΔE_f   1.764 eV/atom

abc: 4.371 4.371 4.371
angles: 60.00 60.00 60.00
Positions (direct):
1 La 0.000 0.000 0.000
2 Re 0.750 0.750 0.750
3 Tc 0.250 0.250 0.250